No. 1
Entry from Alexandria via LeMat-Bulk: a PBEsol-optimized structure of SiBRuO2 (meta-GGA SCAN).

a = 3.112 Å, b = 3.112 Å, c = 7.515 Å
α = 90.00°, β = 90.00°, γ = 90.00°
Positions (direct):
Si 0.000 0.000 0.500
B 0.000 0.000 0.000
Ru 0.500 0.500 0.500
O 0.500 0.000 0.000
O 0.000 0.500 0.000

Output
E_form (uncorrected) = -0.117 eV/atom
space-group type = P4/mmm, No. 123
density = 3.92 g/cm3

No. 2
Entry from Alexandria via LeMat-Bulk: a PBEsol-optimized structure of HfBe2Si (meta-GGA SCAN).

a = 3.911 Å, b = 3.911 Å, c = 8.021 Å
α = 104.11°, β = 104.11°, γ = 90.00°
Positions (direct):
Si 0.750 0.250 0.500
Si 0.500 0.500 0.000
Hf 0.000 0.000 0.000
Hf 0.250 0.750 0.500
Be 0.625 0.875 0.250
Be 0.625 0.375 0.250
Be 0.625 0.375 0.750
Be 0.125 0.375 0.750

Output
E_form (uncorrected) = 0.245 eV/atom
space-group type = I4_1/amd, No. 141
density = 6.48 g/cm3

No. 3
Entry from Alexandria via LeMat-Bulk: a PBEsol-optimized structure of SrCa2Mg (meta-GGA SCAN).

a = 4.096 Å, b = 4.096 Å, c = 9.098 Å
α = 90.00°, β = 90.00°, γ = 90.00°
Positions (direct):
Ca 0.500 0.500 0.288
Ca 0.000 0.000 0.019
Sr 0.500 0.500 0.713
Mg 0.000 0.000 0.480

Output
space-group type = P4mm, No. 99
density = 2.09 g/cm3
ΔH_f (0 K) = -0.02 eV per atom

No. 4
Entry from Alexandria via LeMat-Bulk: a PBEsol-optimized structure of Mo3Pt (meta-GGA SCAN).

a = 4.419 Å, b = 5.631 Å, c = 5.631 Å
α = 120.00°, β = 90.00°, γ = 90.00°
Positions (direct):
Mo 0.750 0.160 0.319
Mo 0.250 0.840 0.160
Mo 0.750 0.160 0.840
Mo 0.250 0.840 0.681
Mo 0.250 0.319 0.160
Mo 0.750 0.681 0.840
Pt 0.750 0.667 0.333
Pt 0.250 0.333 0.667

Output
space-group type = P6_3/mmc, No. 194
density = 13.21 g/cm3
ΔH_f (0 K) = -0.10 eV per atom

No. 5
Entry from Alexandria via LeMat-Bulk: a PBEsol-optimized structure of TlV2AgO6 (meta-GGA SCAN).

a = 5.862 Å, b = 7.340 Å, c = 7.340 Å
α = 86.81°, β = 78.96°, γ = 78.96°
Positions (direct):
V 0.715 0.631 0.796
V 0.215 0.796 0.631
V 0.285 0.369 0.204
V 0.785 0.204 0.369
O 0.727 0.103 0.575
O 0.640 0.799 0.953
O 0.360 0.201 0.047
O 0.227 0.575 0.103
O 0.273 0.897 0.425
O 0.981 0.667 0.644
O 0.481 0.644 0.667
O 0.019 0.333 0.356
O 0.773 0.425 0.897
O 0.140 0.953 0.799
O 0.860 0.047 0.201
O 0.519 0.356 0.333
Tl 0.250 0.284 0.716
Tl 0.750 0.716 0.284
Ag 0.250 0.894 0.106
Ag 0.750 0.106 0.894

Output
E_form (uncorrected) = -1.988 eV/atom
space-group type = C2/c, No. 15
density = 5.57 g/cm3

No. 6
Entry from Alexandria via LeMat-Bulk: a PBEsol-optimized structure of K2BeC (meta-GGA SCAN).

a = 5.222 Å, b = 5.222 Å, c = 5.222 Å
α = 60.00°, β = 60.00°, γ = 60.00°
Positions (direct):
C 0.500 0.500 0.500
K 0.250 0.250 0.250
K 0.750 0.750 0.750
Be 0.000 0.000 0.000

Output
space-group type = Fm-3m, No. 225
density = 1.64 g/cm3
ΔH_f (0 K) = 1.71 eV per atom

No. 7
Entry from Alexandria via LeMat-Bulk: a PBEsol-optimized structure of TlAs2Os (meta-GGA SCAN).

a = 3.157 Å, b = 4.510 Å, c = 6.602 Å
α = 105.85°, β = 90.00°, γ = 110.49°
Positions (direct):
Os 0.470 0.940 0.677
Tl 0.828 0.655 0.251
As 0.170 0.340 0.603
As 0.032 0.064 0.969

Output
space-group type = Cm, No. 8
density = 10.74 g/cm3
ΔH_f (0 K) = 0.16 eV per atom

No. 8
Entry from Alexandria via LeMat-Bulk: a PBEsol-optimized structure of MnSb2IrOs (meta-GGA SCAN).

a = 4.720 Å, b = 4.918 Å, c = 4.918 Å
α = 90.00°, β = 90.00°, γ = 90.00°
Positions (direct):
Os 0.000 0.000 0.000
Mn 0.500 0.000 0.000
Ir 0.500 0.500 0.500
Sb 0.000 0.000 0.500
Sb 0.000 0.500 0.000

Output
E_form (uncorrected) = 1.110 eV/atom
space-group type = P4/mmm, No. 123
density = 9.90 g/cm3

No. 9
Entry from Alexandria via LeMat-Bulk: a PBEsol-optimized structure of Cd3Cl5 (meta-GGA SCAN).

a = 3.802 Å, b = 7.138 Å, c = 7.138 Å
α = 110.82°, β = 90.00°, γ = 90.00°
Positions (direct):
Cl 0.500 0.699 0.699
Cl 0.500 0.301 0.301
Cl 0.000 0.000 0.000
Cl 0.000 0.000 0.500
Cl 0.000 0.500 0.000
Cd 0.000 0.500 0.500
Cd 0.500 0.170 0.830
Cd 0.500 0.830 0.170

Output
E_form (uncorrected) = -0.863 eV/atom
space-group type = Cmmm, No. 65
density = 4.72 g/cm3

No. 10
Entry from Alexandria via LeMat-Bulk: a PBEsol-optimized structure of Al2CoTe (meta-GGA SCAN).

a = 3.368 Å, b = 4.599 Å, c = 4.599 Å
α = 111.70°, β = 90.00°, γ = 90.00°
Positions (direct):
Al 0.000 0.500 0.000
Al 0.000 0.000 0.500
Co 0.500 0.000 0.000
Te 0.500 0.500 0.500

Output
E_form (uncorrected) = 0.309 eV/atom
space-group type = Cmmm, No. 65
density = 6.03 g/cm3